The following is a PBE calculation of a relaxed structure of Dy2NbN3, from the Open Quantum Materials Database.

The structure in POSCAR format:
```
Dy2NbN3
1.0
3.324 0.000 0.000
-1.662 2.879 0.000
0.000 0.000 8.167
Nb N Dy
1 3 2
direct
0.000 0.000 0.500
0.667 0.333 0.648
0.000 0.000 0.000
0.333 0.667 0.352
0.333 0.667 0.825
0.667 0.333 0.175
```

Properties
The space-group type is P-3m1, No. 164. The calculation puts the electronic total energy at -8.836 eV/atom. Its spin magnetization is 0.0 μB/f.u.